Entry 1:
A plane-wave DFT calculation with PBE-GGA was carried out for HPtCl4 after structural relaxation.

Geometry as extended XYZ:
```
12
Lattice="2.817 -8.337 0.000 2.817 8.337 0.000 -0.489 0.000 6.706" Properties=species:S:1:pos:R:3 pbc="T T T"
H 2.450 5.927 5.029
H 2.694 -5.927 1.676
Pt 2.694 0.857 1.676
Pt 2.450 -0.857 5.029
Cl 1.226 2.540 2.474
Cl 1.082 0.789 5.932
Cl 1.326 -0.789 2.579
Cl 0.981 -2.540 5.827
Cl 4.163 2.540 0.879
Cl 3.818 0.789 4.127
Cl 4.063 -0.789 0.774
Cl 3.918 -2.540 4.231
```

Calculated values
Size of the total moment = 2.0 μB per cell
Final energy = -3.16 eV per atom
DOS(E_F) = 1.2 states/eV per cell
Symmetry = No. 15


Entry 2:
A plane-wave DFT calculation with PBE-GGA was carried out for HPtCl3 after structural relaxation.

Geometry as extended XYZ:
```
5
Lattice="4.339 0.000 0.000 0.000 4.339 0.000 0.000 0.000 4.339" Properties=species:S:1:pos:R:3 pbc="T T T"
H 0.000 0.000 0.000
Pt 2.170 2.170 2.170
Cl 0.000 0.000 2.170
Cl 0.000 2.170 0.000
Cl 2.170 0.000 0.000
```

Calculated values
Size of the total moment = 2.1 μB per cell
DOS(E_F) = 2.7 states/eV per cell
Energy above the lowest structure with this stoichiometry = 0.576 eV/atom
Symmetry = No. 221


Entry 3:
A plane-wave DFT calculation with PBE-GGA was carried out for H3PtCl after structural relaxation.

Geometry as extended XYZ:
```
5
Lattice="3.660 0.000 0.000 0.000 3.660 0.000 0.000 0.000 3.660" Properties=species:S:1:pos:R:3 pbc="T T T"
H 0.000 0.000 1.830
H 0.000 1.830 0.000
H 1.830 0.000 0.000
Pt 0.000 0.000 0.000
Cl 1.830 1.830 1.830
```

Calculated values
Size of the total moment = 0.0 μB per cell
DOS(E_F) = 2.3 states/eV per cell
Energy above the lowest structure with this stoichiometry = 0.602 eV/atom
Symmetry = No. 221


Entry 4:
A plane-wave DFT calculation with PBE-GGA was carried out for H3PtCl after structural relaxation.

Geometry as extended XYZ:
```
5
Lattice="3.625 0.000 0.000 0.000 3.625 0.000 0.000 0.000 3.625" Properties=species:S:1:pos:R:3 pbc="T T T"
H 0.000 0.000 1.813
H 0.000 1.813 0.000
H 1.813 0.000 0.000
Pt 1.813 1.813 1.813
Cl 0.000 0.000 0.000
```

Calculated values
Size of the total moment = 0.0 μB per cell
DOS(E_F) = 2.2 states/eV per cell
Energy above the lowest structure with this stoichiometry = 1.501 eV/atom
Symmetry = No. 221